[1]
Below is Pa5GeSb3 after structural relaxation, with properties calculated at the PBE level.

abc: 6.2081 9.1693 9.1693
angles: 120.00 90.00 90.00
Element x y z (fractional)
Sb  0.7500  0.6175  0.6175
Sb  0.2500  0.6175  0.0000
Sb  0.7500  0.3825  0.0000
Sb  0.2500  0.3825  0.3825
Sb  0.7500  0.0000  0.3825
Sb  0.2500  0.0000  0.6175
Pa  0.7500  0.0000  0.7287
Pa  0.2500  0.7287  0.7287
Pa  0.2500  0.0000  0.2713
Pa  0.2500  0.2713  0.0000
Pa  0.5000  0.3333  0.6667
Pa  0.0000  0.3333  0.6667
Pa  0.7500  0.2713  0.2713
Pa  0.0000  0.6667  0.3333
Pa  0.5000  0.6667  0.3333
Pa  0.7500  0.7287  0.0000
Ge  0.0000  0.0000  0.0000
Ge  0.5000  0.0000  0.0000

[2]
Below is Pa4GeSb4 after structural relaxation, with properties calculated at the PBE level.

abc: 6.1294 9.4576 9.4576
angles: 90.00 90.00 90.00
Element x y z (fractional)
Pa  0.0011  0.9074  0.2908
Pa  0.5011  0.7908  0.5926
Pa  0.0011  0.0926  0.7092
Pa  0.4989  0.5926  0.2092
Pa  0.9989  0.7092  0.9074
Pa  0.9989  0.2908  0.0926
Pa  0.4989  0.4074  0.7908
Pa  0.5011  0.2092  0.4074
Sb  0.4989  0.7201  0.9090
Sb  0.5011  0.9090  0.2799
Sb  0.9989  0.4090  0.7799
Sb  0.9989  0.5910  0.2201
Sb  0.0011  0.7799  0.5910
Sb  0.5011  0.0910  0.7201
Sb  0.4989  0.2799  0.0910
Sb  0.0011  0.2201  0.4090
Ge  0.5000  0.5000  0.5000
Ge  0.0000  0.0000  0.0000

[3]
Below is Pa5Ge2Sb2 after structural relaxation, with properties calculated at the PBE level.

abc: 7.7739 7.7754 8.5050
angles: 90.00 62.80 90.00
Site moments in Bohr magnetons follow the coordinates.
Element x y z (fractional)
Ge  0.1242  0.3759  0.0000  0.00
Ge  0.3758  0.8759  0.0000  0.00
Ge  0.6242  0.1241  0.0000  0.00
Ge  0.8758  0.6241  0.0000  0.00
Pa  0.2007  0.1782  0.2491  0.09
Pa  0.5502  0.8218  0.2491  0.09
Pa  0.4498  0.1782  0.7509  0.09
Pa  0.0502  0.6782  0.2491  0.09
Pa  0.9498  0.3218  0.7509  0.09
Pa  0.7007  0.3218  0.2491  0.09
Pa  0.0000  0.0000  0.0000  0.03
Pa  0.7993  0.8218  0.7509  0.09
Pa  0.5000  0.5000  0.0000  0.03
Pa  0.2993  0.6782  0.7509  0.09
Sb  0.7877  0.0000  0.4245  0.00
Sb  0.7123  0.5000  0.5755  0.00
Sb  0.2122  0.0000  0.5755  0.00
Sb  0.2878  0.5000  0.4245  0.00

Formation energy from raw total energies: -0.553, -0.261, -0.415 (eV per atom)
DFT total energy: -7.715, -6.827, -7.633 (eV/atom)